A plane-wave DFT calculation with PBE-GGA was carried out for a geometry-optimized ReTeRhN2 structure.

a = 3.8215 Å, b = 3.8215 Å, c = 5.8568 Å
α = 90.00°, β = 90.00°, γ = 90.00°
Closest atoms and distances in Å follow each position.
Positions (direct):
Re: 0.0000 0.0000 0.0000  4 N 1.91
Te: 0.0000 0.0000 0.5000  4 Rh 2.70, 2 Re 2.93
Rh: 0.5000 0.5000 0.5000  4 Te 2.70
N: 0.0000 0.5000 0.0000  2 Re 1.91
N: 0.5000 0.0000 0.0000  2 Re 1.91

Summary:
- Space-group type: P4/mmm (123)
- Formation energy (no corrections): 3.2 eV per formula unit
- Crystal system: tetragonal
- ΔE to the lowest computed polymorph: 0.0000 eV per atom

A plane-wave DFT calculation with PBE-GGA was carried out for a geometry-optimized ScBi2Au structure.

a = 5.2353 Å, b = 5.2353 Å, c = 5.2353 Å
α = 60.00°, β = 60.00°, γ = 60.00°
Closest atoms and distances in Å follow each position.
Positions (direct):
Sc: 0.0000 0.0000 0.0000  8 Bi 3.21
Au: 0.5000 0.5000 0.5000  8 Bi 3.21
Bi: 0.2500 0.2500 0.2500  4 Au 3.21, 4 Sc 3.21
Bi: 0.7500 0.7500 0.7500  4 Sc 3.21, 4 Au 3.21

Summary:
- Energy relative to the elements: -0.284 eV per formula unit
- Space-group type: Fm-3m (225)
- Crystal system: cubic

A plane-wave DFT calculation with PBE-GGA was carried out for a geometry-optimized ErNiH2 structure.

a = 3.8182 Å, b = 3.8182 Å, c = 4.3683 Å
α = 64.08°, β = 64.08°, γ = 60.00°
Closest atoms and distances in Å follow each position.
Positions (direct):
Ni: 0.0000 0.0000 0.0000  2 H 1.54
H: 0.1365 0.1365 0.5906  1 Ni 1.54
H: 0.8635 0.8635 0.4094  1 Ni 1.54
Er: 0.5000 0.5000 0.5000  6 H 2.23

Summary:
- Space-group type: R-3m (166)
- Crystal system: trigonal

A plane-wave DFT calculation with PBE-GGA was carried out for a geometry-optimized ZnCdSN2 structure.

a = 3.9064 Å, b = 3.9064 Å, c = 5.4743 Å
α = 90.00°, β = 90.00°, γ = 90.00°
Closest atoms and distances in Å follow each position.
Positions (direct):
Zn: 0.0000 0.0000 0.0000  4 N 1.95
N: 0.0000 0.5000 0.0000  2 Zn 1.95
N: 0.5000 0.0000 0.0000  2 Zn 1.95
S: 0.0000 0.0000 0.5000  2 Zn 2.74, 4 Cd 2.76
Cd: 0.5000 0.5000 0.5000  4 S 2.76

Summary:
- Space-group type: P4/mmm (123)
- Formation energy (no corrections): 6.2 eV per formula unit
- Crystal system: tetragonal
- ΔE to the lowest computed polymorph: 0.0000 eV per atom

A plane-wave DFT calculation with PBE-GGA was carried out for a geometry-optimized AlCdSe2N structure.

a = 5.3418 Å, b = 5.3418 Å, c = 4.1542 Å
α = 90.00°, β = 90.00°, γ = 90.00°
Closest atoms and distances in Å follow each position.
Positions (direct):
N: 0.0000 0.0000 0.5000  2 Cd 2.08
Al: 0.5000 0.5000 0.5000  8 Se 3.38, 4 N 3.78
Se: 0.0000 0.5000 0.0000  2 Cd 2.67
Se: 0.5000 0.0000 0.0000  2 Cd 2.67
Cd: 0.0000 0.0000 0.0000  2 N 2.08

Summary:
- Space-group type: P4/mmm (123)
- Formation energy (no corrections): 5.1 eV per formula unit
- Crystal system: tetragonal
- ΔE to the lowest computed polymorph: 0.8683 eV per atom

A plane-wave DFT calculation with PBE-GGA was carried out for a geometry-optimized Ce12TlSn4N3 structure.

a = 8.8585 Å, b = 8.8585 Å, c = 8.8585 Å
α = 109.47°, β = 109.47°, γ = 109.47°
Closest atoms and distances in Å follow each position.
Positions (direct):
Ce: 0.2500 0.5000 0.7500  2 N 2.56
Ce: 0.7184 0.0000 0.7184  1 N 2.23
Ce: 0.2816 0.0000 0.2816  1 N 2.23
Ce: 0.7500 0.5000 0.2500  2 N 2.56
Ce: 0.7184 0.7184 0.0000  1 N 2.23
Ce: 0.2816 0.2816 0.0000  1 N 2.23
Ce: 0.7500 0.2500 0.5000  2 N 2.56
Ce: 0.2500 0.7500 0.5000  2 N 2.56
Ce: 0.5000 0.2500 0.7500  2 N 2.56
Ce: 0.0000 0.7184 0.7184  1 N 2.23
Ce: 0.5000 0.7500 0.2500  2 N 2.56
Ce: 0.0000 0.2816 0.2816  1 N 2.23
Tl: 0.0000 0.0000 0.0000  6 Ce 2.88
Sn: 0.5000 0.5000 0.5000  12 Ce 3.62-3.63
Sn: 0.0000 0.0000 0.5000  12 Ce 3.62-3.63
Sn: 0.5000 0.0000 0.0000  12 Ce 3.62-3.63
Sn: 0.0000 0.5000 0.0000  12 Ce 3.62-3.63
N: 0.5000 0.0000 0.5000  2 Ce 2.23
N: 0.5000 0.5000 0.0000  2 Ce 2.23
N: 0.0000 0.5000 0.5000  2 Ce 2.23

Summary:
- Space-group type: Im-3m (229)
- Formation energy (no corrections): -12.2 eV per formula unit
- Crystal system: cubic

Total energy readings, ordered: -36.40 -17.66 -18.70 -16.79 -14.82 -126.73 eV for the cell shown